La3Ce4YTe8, optimized geometry, DFT PBE; SG = No. 166; energy relative to the elements, uncorrected = -1.441 eV per atom; uncorrected energy = -5.82 eV/atom
1.0
4.503 2.600 7.400
-4.503 2.600 7.400
0.000 -5.199 7.400
La Ce Y Te
3 4 1 8
Direct
0.000 0.500 0.500
0.500 0.000 0.500
0.500 0.500 0.000
0.000 0.000 0.500
0.000 0.500 0.000
0.500 0.000 0.000
0.500 0.500 0.500
0.000 0.000 0.000
0.242 0.754 0.754
0.246 0.246 0.758
0.246 0.758 0.246
0.248 0.248 0.248
0.752 0.752 0.752
0.754 0.242 0.754
0.754 0.754 0.242
0.758 0.246 0.246

***

La2CeY3Te6, optimized geometry, DFT PBE; SG = No. 12; energy relative to the elements, uncorrected = -1.422 eV per atom; uncorrected energy = -5.92 eV/atom
1.0
9.748 -2.212 0.000
9.748 2.212 0.000
-2.190 0.000 8.728
La Ce Y Te
2 1 3 6
Direct
0.166 0.166 0.332
0.834 0.834 0.668
0.500 0.500 0.000
0.168 0.168 0.835
0.500 0.500 0.500
0.832 0.832 0.165
0.005 0.005 0.745
0.332 0.332 0.926
0.336 0.336 0.407
0.664 0.664 0.593
0.668 0.668 0.074
0.995 0.995 0.255

***

LaCe2Y3Te6, optimized geometry, DFT PBE; SG = No. 12; energy relative to the elements, uncorrected = -1.387 eV per atom; uncorrected energy = -5.97 eV/atom
1.0
3.817 -6.626 0.000
3.817 6.626 0.000
-2.552 0.000 7.358
La Ce Y Te
1 2 3 6
Direct
0.000 0.000 0.000
0.333 0.667 0.000
0.667 0.333 0.000
0.162 0.838 0.500
0.500 0.500 0.500
0.838 0.162 0.500
0.088 0.426 0.264
0.251 0.251 0.741
0.426 0.088 0.264
0.574 0.912 0.736
0.749 0.749 0.259
0.912 0.574 0.736

***

La2Ce3YTe6, optimized geometry, DFT PBE; SG = No. 12; energy relative to the elements, uncorrected = -1.434 eV per atom; uncorrected energy = -5.85 eV/atom
1.0
3.881 -6.733 0.000
3.881 6.733 0.000
-2.596 0.000 7.410
La Ce Y Te
2 3 1 6
Direct
0.165 0.835 0.000
0.835 0.165 0.000
0.000 0.000 0.500
0.328 0.672 0.500
0.672 0.328 0.500
0.500 0.500 0.000
0.094 0.418 0.752
0.262 0.262 0.254
0.418 0.094 0.752
0.582 0.906 0.248
0.738 0.738 0.746
0.906 0.582 0.248

***

Calculated N(E_F) (states/eV per cell), listed in the same order as above: 33.26, 13.03, 18.12, 24.22